1.
The following is a GGA+U calculation of a relaxed structure of CsNa2VF6, from Alexandria via LeMat-Bulk.

## Properties
Final energy in eV per atom: -5.06
DOS at the Fermi energy in states/eV/atom: 0.00

Cell and atoms, written as CIF:
```
data_CsNa2VF6
_chemical_formula_sum 'Cs2 Na4 V2 F12'
_space_group_name_H-M_alt 'P 1 21/c 1'
_space_group_IT_number 14
_space_group_name_Hall '-P 2ybc'
_cell_length_a 6.369
_cell_length_b 6.200
_cell_length_c 10.676
_cell_angle_alpha 90.00
_cell_angle_beta 126.41
_cell_angle_gamma 90.00
loop_
_atom_site_label
_atom_site_fract_x
_atom_site_fract_y
_atom_site_fract_z
Cs1 0.000 0.000 0.000
Na1 0.262 0.042 0.788
V1 0.500 0.000 0.500
F1 0.141 0.113 0.328
F2 0.381 0.701 0.480
F3 0.426 0.062 0.651
```


2.
The following is a GGA+U calculation of a relaxed structure of Pm2UMnO8, from Alexandria via LeMat-Bulk.

## Properties
Final energy in eV per atom: -8.40
DOS at the Fermi energy in states/eV/atom: 0.58

Cell and atoms, written as CIF:
```
data_Pm2UMnO8
_chemical_formula_sum 'Pm2 U1 Mn1 O8'
_space_group_name_H-M_alt 'P -1'
_space_group_IT_number 2
_space_group_name_Hall '-P 1'
_cell_length_a 3.957
_cell_length_b 5.379
_cell_length_c 7.748
_cell_angle_alpha 82.61
_cell_angle_beta 88.55
_cell_angle_gamma 83.82
loop_
_atom_site_label
_atom_site_fract_x
_atom_site_fract_y
_atom_site_fract_z
Pm1 0.008 0.032 0.243
U1 0.500 0.500 0.500
Mn1 0.500 0.500 0.000
O1 0.045 0.726 0.521
O2 0.111 0.734 0.032
O3 0.454 0.222 0.695
O4 0.462 0.311 0.232
```